(1)
Below is a crystal of MgZnMo relaxed with PBEsol, with properties calculated at the meta-GGA SCAN level.

a b c (Å): 4.5472 4.5472 2.6184
angles (deg): 90.00 90.00 120.00
Space group P3m1 (No. 156)
Inequivalent atoms, fractional coordinates:
Mg  0.0000  0.0000  0.0000 [1 per cell]
Zn  0.6667  0.3333  0.8155 [1 per cell]
Mo  0.3333  0.6667  0.4392 [1 per cell]

## Properties
As for the total energy: -17.43 eV per atom. For the energy relative to the elements, the calculation gives 35.1 kJ/mol of atoms. Its density is 6.57 g/cm³. Its relative energy among the computed polymorphs is 0.0000 eV/atom. The spin magnetization comes out at 0.000 μB per atom.

(2)
Below is a crystal of La2SiMo relaxed with PBEsol, with properties calculated at the meta-GGA SCAN level.

a b c (Å): 4.419 4.922 8.592
angles (deg): 90.00 90.00 90.00
Space group Cmmm (No. 65)
Inequivalent atoms, fractional coordinates:
La  0.000  0.000  0.247 [4 per cell]
Si  0.000  0.500  0.500 [2 per cell]
Mo  0.000  0.500  0.000 [2 per cell]

## Properties
As for the total energy: -32.50 eV per atom. Its density is 7.14 g/cm³. The spin magnetization comes out at 0.415 μB per atom.

(3)
Below is a crystal of CaMgI2N relaxed with PBEsol, with properties calculated at the meta-GGA SCAN level.

a b c (Å): 5.994 5.994 4.425
angles (deg): 90.00 90.00 90.00
Space group P4/mmm (No. 123)
Inequivalent atoms, fractional coordinates:
Ca  0.000  0.000  0.000 [1 per cell]
Mg  0.500  0.500  0.500 [1 per cell]
I  0.000  0.500  0.000 [2 per cell]
N  0.000  0.000  0.500 [1 per cell]

## Properties
As for the total energy: -19.53 eV per atom. Its density is 3.47 g/cm³. The spin magnetization comes out at 0.227 μB per atom.

(4)
Below is a crystal of CsSnNF2 relaxed with PBEsol, with properties calculated at the meta-GGA SCAN level.

a b c (Å): 4.959 4.959 4.551
angles (deg): 90.00 90.00 90.00
Space group P4/mmm (No. 123)
Inequivalent atoms, fractional coordinates:
Cs  0.000  0.000  0.000 [1 per cell]
Sn  0.500  0.500  0.500 [1 per cell]
N  0.000  0.000  0.500 [1 per cell]
F  0.000  0.500  0.000 [2 per cell]

## Properties
As for the total energy: -17.87 eV per atom. Its density is 4.50 g/cm³. The spin magnetization comes out at 0.102 μB per atom.